# NpPdSe3

A relaxed NpPdSe3 crystal (PBE, Alexandria via LeMat-Bulk).

a = 4.025 Å, b = 7.523 Å, c = 8.363 Å
α = 90.00°, β = 103.92°, γ = 90.00°
Fractional coordinates of all 10 atoms:
Se 0.839 0.996 0.678
Se 0.472 0.750 0.944
Se 0.839 0.504 0.678
Se 0.161 0.496 0.322
Se 0.528 0.250 0.056
Se 0.161 0.004 0.322
Pd 0.941 0.250 0.882
Pd 0.059 0.750 0.118
Np 0.707 0.250 0.413
Np 0.293 0.750 0.587

Calculated values
Uncorrected energy ... -6.280 eV per atom
Formation energy without anion corrections ... -0.562 eV/atom
Total moment ... 5.82 Bohr magnetons per cell